(1)
Material: SrDy2RuN4
Method: DFT, PBE-GGA
State: relaxed

a b c (Å): 6.217 6.217 11.789
angles (deg): 90.00 90.00 147.50
Atoms (fractional coordinates):
Sr (0.109, 0.891, 0.750)
Sr (0.891, 0.109, 0.250)
Dy (0.369, 0.631, 0.537)
Dy (0.369, 0.631, 0.963)
Dy (0.631, 0.369, 0.037)
Dy (0.631, 0.369, 0.463)
Ru (0.157, 0.843, 0.250)
Ru (0.843, 0.157, 0.750)
N (0.000, 0.000, 0.000)
N (0.000, 0.000, 0.500)
N (0.258, 0.742, 0.120)
N (0.258, 0.742, 0.380)
N (0.419, 0.581, 0.750)
N (0.581, 0.419, 0.250)
N (0.742, 0.258, 0.620)
N (0.742, 0.258, 0.880)

Calculated values
- DOS at the Fermi energy: 3.22 states/eV/f.u.
- Size of the total moment: 0.0 μB per formula unit
- Formation energy (no corrections): -86.5 kJ/mol of atoms



(2)
Material: LiMg2Cu
Method: DFT, PBE-GGA
State: relaxed

a b c (Å): 4.885 2.996 5.251
angles (deg): 90.00 111.74 90.00
Atoms (fractional coordinates):
Li (0.000, 0.000, 0.000)
Mg (0.500, 0.000, 0.500)
Mg (0.500, 0.500, 0.000)
Cu (0.000, 0.500, 0.500)

Calculated values
- DOS at the Fermi energy: 1.32 states/eV/f.u.
- Size of the total moment: 0.0 μB per formula unit
- Energy relative to the elements: 3 kJ per mole of atoms



(3)
Material: LaPtAu3
Method: DFT, PBE-GGA
State: relaxed

a b c (Å): 5.515 5.515 5.515
angles (deg): 90.00 90.00 90.00
Atoms (fractional coordinates):
La (0.000, 0.000, 0.000)
Pt (0.500, 0.500, 0.500)
Au (0.000, 0.000, 0.500)
Au (0.000, 0.500, 0.000)
Au (0.500, 0.000, 0.000)

Calculated values
- DOS at the Fermi energy: 4.08 states/eV/f.u.
- Energy relative to the lowest polymorph listed for this composition: 1154 meV per atom
- Size of the total moment: 0.2 μB per formula unit
- Energy relative to the elements: 100 kJ per mole of atoms



(4)
Material: Li7Mg2Ga
Method: DFT, PBE-GGA
State: relaxed

a b c (Å): 4.701 4.701 9.934
angles (deg): 90.00 90.00 120.00
Atoms (fractional coordinates):
Li (0.000, 0.000, 0.000)
Li (0.000, 0.000, 0.223)
Li (0.000, 0.000, 0.466)
Li (0.333, 0.667, 0.257)
Li (0.333, 0.667, 0.975)
Li (0.667, 0.333, 0.427)
Li (0.667, 0.333, 0.832)
Mg (0.000, 0.000, 0.732)
Mg (0.333, 0.667, 0.600)
Ga (0.667, 0.333, 0.129)

Calculated values
- DOS at the Fermi energy: 3.73 states/eV/f.u.
- Energy relative to the lowest polymorph listed for this composition: 21 meV per atom
- Size of the total moment: 0.0 μB per formula unit
- Energy relative to the elements: -1 kJ per mole of atoms



Which of these has the highest size of the total moment?
LaPtAu3